Entry 1:
Pm2PuIn | PBE-GGA | optimized geometry

Results
The calculated formation energy is -0.065 eV/atom. For the distance to the lowest polymorph of the same formula, the calculation gives 1.99 kcal/mol of atoms. Its symmetry is Fm-3m (225).

abc: 5.4994 5.4994 5.4994
angles: 60.00 60.00 60.00
Last column: nearest neighbours and their distance in Å.
Element x y z (fractional)
1 Pm 0.2500 0.2500 0.2500  4 In 3.37, 4 Pu 3.37
2 Pm 0.7500 0.7500 0.7500  4 In 3.37, 4 Pu 3.37
3 Pu 0.0000 0.0000 0.0000  8 Pm 3.37
4 In 0.5000 0.5000 0.5000  8 Pm 3.37

Entry 2:
SrMn2Mo | PBE-GGA | optimized geometry

Results
The calculated formation energy is 1.001 eV/atom. For the distance to the lowest polymorph of the same formula, the calculation gives 11.89 kcal/mol of atoms. Its symmetry is F-43m (216).

abc: 4.7908 4.7908 4.7908
angles: 60.00 60.00 60.00
Last column: nearest neighbours and their distance in Å.
Element x y z (fractional)
1 Sr 0.0000 0.0000 0.0000  4 Mo 2.93, 4 Mn 2.93
2 Mn 0.2500 0.2500 0.2500  4 Mn 2.93, 4 Sr 2.93
3 Mn 0.5000 0.5000 0.5000  4 Mo 2.93, 4 Mn 2.93
4 Mo 0.7500 0.7500 0.7500  4 Mn 2.93, 4 Sr 2.93

Entry 3:
Y2TaTlF | PBE-GGA | optimized geometry

Results
Its energy relative to the elements, uncorrected is -0.12 eV/atom. Its symmetry is P4/mmm (123).

abc: 5.7404 5.7404 4.0693
angles: 90.00 90.00 90.00
Last column: nearest neighbours and their distance in Å.
Element x y z (fractional)
1 Y 0.0000 0.5000 0.0000  2 Ta 2.87
2 Y 0.5000 0.0000 0.0000  2 Ta 2.87
3 Ta 0.0000 0.0000 0.0000  2 F 2.03
4 Tl 0.5000 0.5000 0.5000  8 Y 3.52
5 F 0.0000 0.0000 0.5000  2 Ta 2.03

Entry 4:
CaTmGa4 | PBE-GGA | optimized geometry

Results
The calculated formation energy is -0.523 eV/atom. For the distance to the lowest polymorph of the same formula, the calculation gives 0.00 kcal/mol of atoms. Its symmetry is Imm2 (44).

abc: 5.7853 5.7853 5.7853
angles: 135.92 104.67 91.62
Last column: nearest neighbours and their distance in Å.
Element x y z (fractional)
1 Ca 0.0000 0.0000 0.0000  12 Ga 3.11-3.47
2 Tm 0.3962 0.8962 0.5000  12 Ga 3.09-3.41
3 Ga 0.4078 0.6057 0.8021  4 Ga 2.59-2.80
4 Ga 0.5832 0.2811 0.3021  4 Ga 2.59-2.80
5 Ga 0.8036 0.6057 0.1979  4 Ga 2.59-2.80
6 Ga 0.9790 0.2811 0.6979  4 Ga 2.59-2.80

Entry 5:
TaPtO2 | PBE-GGA | optimized geometry

Results
Its energy relative to the elements, uncorrected is -1.09 eV/atom. For the distance to the lowest polymorph of the same formula, the calculation gives 7.44 kcal/mol of atoms. Its symmetry is I-42d (122).

abc: 6.9073 6.9073 6.9073
angles: 145.13 145.13 50.13
Last column: nearest neighbours and their distance in Å.
Element x y z (fractional)
1 Ta 0.0000 0.0000 0.0000  4 O 2.01
2 Ta 0.7500 0.2500 0.5000  4 O 2.01
3 Pt 0.2500 0.7500 0.5000  4 O 2.31
4 Pt 0.5000 0.5000 0.0000  4 O 2.31
5 O 0.0477 0.6250 0.9227  2 Ta 2.01
6 O 0.3750 0.2977 0.4227  2 Ta 2.01
7 O 0.7023 0.1250 0.0773  2 Ta 2.01
8 O 0.8750 0.9523 0.5773  2 Ta 2.01

Entry 6:
MnCr2Pb | PBE-GGA | optimized geometry

Results
The calculated formation energy is 0.637 eV/atom. Its symmetry is R-3m (166).

abc: 8.8356 8.8356 8.8356
angles: 20.02 20.02 20.02
Last column: nearest neighbours and their distance in Å.
Element x y z (fractional)
1 Mn 0.0000 0.0000 0.0000  6 Cr 2.51
2 Cr 0.2650 0.2650 0.2650  3 Mn 2.51
3 Cr 0.7350 0.7350 0.7350  3 Mn 2.51
4 Pb 0.5000 0.5000 0.5000  6 Pb 3.07, 6 Cr 3.11

Entry 7:
DyLuScCd | PBE-GGA | optimized geometry

Results
The calculated formation energy is -0.032 eV/atom. Its symmetry is F-43m (216).

abc: 5.2967 5.2967 5.2967
angles: 60.00 60.00 60.00
Last column: nearest neighbours and their distance in Å.
Element x y z (fractional)
1 Dy 0.0000 0.0000 0.0000  4 Sc 3.24, 4 Cd 3.24
2 Lu 0.5000 0.5000 0.5000  4 Cd 3.24, 4 Sc 3.24
3 Sc 0.7500 0.7500 0.7500  4 Dy 3.24, 4 Lu 3.24
4 Cd 0.2500 0.2500 0.2500  4 Dy 3.24, 4 Lu 3.24

no.,calculated volume (Å³ per cell),size of the total moment (μB/atom),E_tot (eV/atom)
1,118,1.65,-6.71
2,78,1.42,-6.71
3,134,0.00,-5.93
4,124,0.00,-3.62
5,107,0.00,-8.04
6,71,0.93,-7.39
7,105,0.01,-4.12